{
  "formula": "ZrZnCo2",
  "functional": "GGA-PBEsol",
  "state": "relaxed",
  "n_ef_per_ev_atom": 0.637,
  "energy_ev_per_atom": -6.756,
  "lattice_angstrom": [[-2.2270, -0.9869, 1.8753], [0.7619, -2.9114, -0.6274], [3.6191, 0.0188, 4.3078]],
  "species": ["Zn", "Co", "Co", "Zr"],
  "frac_coords": [[0.5000, 0.5000, 0.0000], [0.0000, 0.0000, 0.7687], [0.0000, 0.0000, 0.2313], [0.5000, 0.5000, 0.5000]]
}


{
  "formula": "AlMo2As",
  "functional": "GGA-PBEsol",
  "state": "relaxed",
  "e_above_lowest_polymorph_mev_per_atom": 38.1,
  "n_ef_per_ev_atom": 0.446,
  "energy_ev_per_atom": -8.152,
  "lattice_angstrom": [[2.9333, 0.0000, 0.0000], [1.4667, 2.5403, 0.0000], [1.4667, 0.8468, 8.2470]],
  "species": ["Mo", "Mo", "As", "Al"],
  "frac_coords": [[0.2550, 0.2550, 0.2351], [0.7450, 0.7450, 0.7649], [0.0000, 0.0000, 0.0000], [0.5000, 0.5000, 0.5000]]
}


{
  "formula": "CaY2Re",
  "functional": "GGA-PBEsol",
  "state": "relaxed",
  "e_above_lowest_polymorph_mev_per_atom": 286.0,
  "n_ef_per_ev_atom": 1.163,
  "energy_ev_per_atom": -6.655,
  "lattice_angstrom": [[3.0578, 0.0000, 0.0000], [0.0000, 5.7702, -0.0267], [0.0000, -2.6408, 5.3161]],
  "species": ["Y", "Y", "Re", "Ca"],
  "frac_coords": [[0.0000, 0.0000, 0.0000], [0.5000, 0.0000, 0.5000], [0.0000, 0.5000, 0.5000], [0.5000, 0.5000, 0.0000]]
}


{
  "formula": "MnZnCo2",
  "functional": "GGA-PBEsol",
  "state": "relaxed",
  "n_ef_per_ev_atom": 1.414,
  "energy_ev_per_atom": -6.650,
  "lattice_angstrom": [[-1.9700, -1.4755, 0.3276], [-0.5132, -1.7729, -1.6610], [3.7398, -6.2662, 3.6768]],
  "species": ["Co", "Co", "Mn", "Zn"],
  "frac_coords": [[0.2457, 0.2457, 0.2628], [0.7543, 0.7543, 0.7372], [0.5000, 0.5000, 0.5000], [0.0000, 0.0000, 0.0000]]
}


{
  "formula": "OsPbCl",
  "functional": "GGA-PBEsol",
  "state": "relaxed",
  "e_above_lowest_polymorph_mev_per_atom": 823.1,
  "formation_energy_uncorrected_ev_per_atom": 1.506,
  "n_ef_per_ev_atom": 0.644,
  "energy_ev_per_atom": -4.568,
  "lattice_angstrom": [[4.7621, 0.0000, 0.0000], [2.3810, 4.1241, 0.0000], [2.3810, 1.3747, 3.8882]],
  "species": ["Pb", "Os", "Cl"],
  "frac_coords": [[0.2500, 0.2500, 0.2500], [0.5000, 0.5000, 0.5000], [0.0000, 0.0000, 0.0000]]
}


{
  "formula": "Ba2CoIr",
  "functional": "GGA-PBEsol",
  "state": "relaxed",
  "e_above_lowest_polymorph_mev_per_atom": 725.5,
  "n_ef_per_ev_atom": 1.582,
  "energy_ev_per_atom": -4.731,
  "lattice_angstrom": [[-1.6234, -1.6970, -4.5494], [2.1329, -4.1583, -2.0909], [-2.6605, -4.3637, -0.3038]],
  "species": ["Ir", "Co", "Ba", "Ba"],
  "frac_coords": [[0.2500, 0.2500, 0.2500], [0.5000, 0.5000, 0.5000], [0.0000, 0.0000, 0.0000], [0.7500, 0.7500, 0.7500]]
}


{
  "formula": "EuZrF6",
  "functional": "GGA-PBEsol",
  "state": "relaxed",
  "formation_energy_uncorrected_ev_per_atom": -3.817,
  "n_ef_per_ev_atom": 0.281,
  "energy_ev_per_atom": -7.720,
  "lattice_angstrom": [[5.3155, 0.0000, 0.0000], [0.0000, 6.6079, -0.0072], [0.0000, -2.3350, 6.1816]],
  "species": ["Eu", "Eu", "Zr", "Zr", "F", "F", "F", "F", "F", "F", "F", "F", "F", "F", "F", "F"],
  "frac_coords": [[0.4575, 0.2500, 0.7500], [0.5425, 0.7500, 0.2500], [0.0000, 0.7500, 0.7500], [0.0000, 0.2500, 0.2500], [0.2637, 0.6834, 0.9403], [0.7363, 0.3166, 0.0597], [0.2637, 0.8166, 0.5597], [0.7363, 0.5597, 0.8166], [0.7363, 0.1834, 0.4403], [0.2637, 0.4403, 0.1834], [0.7363, 0.9403, 0.6834], [0.2637, 0.0597, 0.3166], [0.1540, 0.4225, 0.5775], [0.8460, 0.5775, 0.4225], [0.1540, 0.0775, 0.9225], [0.8460, 0.9225, 0.0775]]
}


{
  "formula": "Al5Hg",
  "functional": "GGA-PBEsol",
  "state": "relaxed",
  "e_above_lowest_polymorph_mev_per_atom": 0.0,
  "n_ef_per_ev_atom": 0.387,
  "energy_ev_per_atom": -3.446,
  "lattice_angstrom": [[-1.8179, -1.5300, 1.7104], [1.1234, -2.4960, -1.0387], [8.2862, 0.0471, 8.8490]],
  "species": ["Hg", "Al", "Al", "Al", "Al", "Al"],
  "frac_coords": [[0.5000, 0.5000, 0.0000], [0.0000, 0.0000, 0.8190], [0.0000, 0.0000, 0.1810], [0.5000, 0.5000, 0.6583], [0.5000, 0.5000, 0.3417], [0.0000, 0.0000, 0.5000]]
}


{
  "formula": "Be2AuSe",
  "functional": "GGA-PBEsol",
  "state": "relaxed",
  "formation_energy_uncorrected_ev_per_atom": -0.177,
  "n_ef_per_ev_atom": 0.190,
  "energy_ev_per_atom": -4.121,
  "lattice_angstrom": [[3.4514, 0.0000, -0.5782], [0.0000, 3.4915, 0.0000], [-0.8629, 0.0000, 5.4467]],
  "species": ["Be", "Be", "Au", "Se"],
  "frac_coords": [[0.1216, 0.0000, 0.8686], [0.6274, 0.5000, 0.8792], [0.2643, 0.5000, 0.1534], [0.4868, 0.0000, 0.5988]]
}


{
  "formula": "KCu2P",
  "functional": "GGA-PBEsol",
  "state": "relaxed",
  "n_ef_per_ev_atom": 0.416,
  "energy_ev_per_atom": -3.276,
  "lattice_angstrom": [[4.6785, 0.0000, 0.0000], [-2.3393, 3.8104, 0.4073], [0.0000, 2.4459, 3.9882]],
  "species": ["Cu", "Cu", "K", "P"],
  "frac_coords": [[0.0000, 0.0000, 0.0000], [0.2500, 0.5000, 0.2500], [0.5000, 0.0000, 0.5000], [0.7500, 0.5000, 0.7500]]
}


{
  "formula": "Cu2Au3",
  "functional": "GGA-PBEsol",
  "state": "relaxed",
  "e_above_lowest_polymorph_mev_per_atom": 50.6,
  "n_ef_per_ev_atom": 0.310,
  "energy_ev_per_atom": -4.078,
  "lattice_angstrom": [[-0.0600, -1.0672, 2.6326], [-0.6360, -2.7390, 0.4085], [10.1677, -3.8013, 0.2243]],
  "species": ["Au", "Au", "Au", "Cu", "Cu"],
  "frac_coords": [[0.2956, 0.2956, 0.1132], [0.7044, 0.7044, 0.8868], [0.5000, 0.5000, 0.5000], [0.1019, 0.1019, 0.6944], [0.8981, 0.8981, 0.3056]]
}


{
  "formula": "CrSbPb2",
  "functional": "GGA-PBEsol",
  "state": "relaxed",
  "formation_energy_uncorrected_ev_per_atom": 0.429,
  "n_ef_per_ev_atom": 0.495,
  "energy_ev_per_atom": -5.270,
  "lattice_angstrom": [[-3.0272, 3.5288, 0.8837], [-0.8625, -1.8131, 4.2856], [5.2878, 1.5829, -0.8793]],
  "species": ["Cr", "Pb", "Pb", "Sb"],
  "frac_coords": [[0.2500, 0.7500, 0.5000], [0.0000, 0.0000, 0.0000], [0.7500, 0.2500, 0.5000], [0.5000, 0.5000, 0.0000]]
}